No. 1
# YMg2Os

Crystalline YMg2Os at its relaxed geometry (PBE, Alexandria via LeMat-Bulk).

Cell: 5.8784 5.8784 5.8784 Å, 145.95 132.31 59.89°
Fractional positions:
Y (0.0000, 0.0000, 0.0000)
Mg (0.2874, 0.7874, 0.5000)
Mg (0.7126, 0.2126, 0.5000)
Os (0.5000, 0.5000, 0.0000)

Calculated formation energy: -0.0156 eV/atom
Symmetry: Immm, No. 71
Mass density: 6.530 g/cm3


No. 2
# HgPb2S

Crystalline HgPb2S at its relaxed geometry (PBE, Alexandria via LeMat-Bulk).

Cell: 7.6671 7.6671 7.6671 Å, 124.92 124.92 81.67°
Fractional positions:
Hg (0.0000, 0.0000, 0.0000)
Hg (0.7500, 0.2500, 0.5000)
Pb (0.1485, 0.6250, 0.0235)
Pb (0.3750, 0.3985, 0.5235)
Pb (0.6015, 0.1250, 0.9765)
Pb (0.8750, 0.8515, 0.4765)
S (0.2500, 0.7500, 0.5000)
S (0.5000, 0.5000, 0.0000)

Symmetry: I-42d, No. 122
Mass density: 7.369 g/cm3
Uncorrected formation energy: 0.017 eV per atom


The lowest mass density belongs to which entry? YMg2Os


Copy entry 2 word for word.
# HgPb2S

Crystalline HgPb2S at its relaxed geometry (PBE, Alexandria via LeMat-Bulk).

Cell: 7.6671 7.6671 7.6671 Å, 124.92 124.92 81.67°
Fractional positions:
Hg (0.0000, 0.0000, 0.0000)
Hg (0.7500, 0.2500, 0.5000)
Pb (0.1485, 0.6250, 0.0235)
Pb (0.3750, 0.3985, 0.5235)
Pb (0.6015, 0.1250, 0.9765)
Pb (0.8750, 0.8515, 0.4765)
S (0.2500, 0.7500, 0.5000)
S (0.5000, 0.5000, 0.0000)

Symmetry: I-42d, No. 122
Mass density: 7.369 g/cm3
Uncorrected formation energy: 0.017 eV per atom